No. 1
The following is a PBE with a Hubbard U calculation of an optimized crystal structure of AcCoPtO4, from Alexandria via LeMat-Bulk.

Values from the calculation:
Raw total energy: -6.50 eV per atom
M_tot: 3.983 μB/cell
Symmetry: Imma

Cell: 7.6044 7.6044 7.6044 Å, 137.39 134.48 64.11°
Closest atoms and distances in Å follow each position.
Atoms (fractional coordinates):
Ac  0.3601  0.1101  0.2500  4 O 2.39-2.52
Ac  0.6399  0.8899  0.7500  4 O 2.39-2.52
Co  0.0000  0.0000  0.5000  4 O 1.88
Co  0.0000  0.5000  0.0000  4 O 1.88
Pt  0.0000  0.5000  0.5000  4 O 2.07
Pt  0.5000  0.5000  0.0000  4 O 2.07
O  0.2010  0.2147  0.5137  2 Pt 2.07
O  0.2010  0.6873  0.9863  2 Pt 2.07
O  0.2088  0.2427  0.9661  2 Co 1.88
O  0.2234  0.7573  0.4661  2 Co 1.88
O  0.7766  0.2427  0.5339  2 Co 1.88
O  0.7912  0.7573  0.0339  2 Co 1.88
O  0.7990  0.3127  0.0137  2 Pt 2.07
O  0.7990  0.7853  0.4863  2 Pt 2.07

=====

No. 2
The following is a PBE with a Hubbard U calculation of an optimized crystal structure of AcCo2PtO8, from Alexandria via LeMat-Bulk.

Values from the calculation:
Raw total energy: -5.81 eV per atom
M_tot: 6.782 μB/cell
Symmetry: I-4m2

Cell: 5.9721 5.9721 5.9721 Å, 108.11 108.11 112.24°
Closest atoms and distances in Å follow each position.
Atoms (fractional coordinates):
Ac  0.0000  0.0000  0.0000  8 O 2.43-2.55
Co  0.5000  0.5000  0.0000  4 O 1.88
Co  0.7500  0.2500  0.5000  4 O 1.70
Pt  0.2500  0.7500  0.5000  8 O 2.12-2.32
O  0.3164  0.1125  0.7961  1 Co 1.88
O  0.3164  0.5204  0.2039  1 Co 1.88
O  0.3983  0.0565  0.3418  1 Co 1.70
O  0.4796  0.6836  0.7961  1 Co 1.88
O  0.7147  0.0565  0.6582  1 Co 1.70
O  0.8875  0.6836  0.2039  1 Co 1.88
O  0.9435  0.2853  0.3418  1 Co 1.70
O  0.9435  0.6017  0.6582  1 Co 1.70

=====

No. 3
The following is a PBE with a Hubbard U calculation of an optimized crystal structure of AcPuCoO6, from Alexandria via LeMat-Bulk.

Values from the calculation:
Raw total energy: -8.28 eV per atom
M_tot: 2.000 μB/cell
Symmetry: P312

Cell: 5.2301 5.2301 5.5315 Å, 90.00 90.00 120.00°
Closest atoms and distances in Å follow each position.
Atoms (fractional coordinates):
Ac  0.0000  0.0000  0.0000  6 O 2.52
Pu  0.3333  0.6667  0.5000  6 O 2.07
Co  0.6667  0.3333  0.5000  6 O 1.95
O  0.3753  0.0176  0.7040  1 Co 1.95, 1 Pu 2.07
O  0.3753  0.3576  0.2960  1 Co 1.95, 1 Pu 2.07
O  0.6424  0.0176  0.2960  1 Co 1.95, 1 Pu 2.07
O  0.6424  0.6247  0.7040  1 Co 1.95, 1 Pu 2.07
O  0.9824  0.3576  0.7040  1 Co 1.95, 1 Pu 2.07
O  0.9824  0.6247  0.2960  1 Co 1.95, 1 Pu 2.07

=====

No. 4
The following is a PBE with a Hubbard U calculation of an optimized crystal structure of Ac2PuCoO8, from Alexandria via LeMat-Bulk.

Values from the calculation:
Raw total energy: -8.08 eV per atom
M_tot: 2.991 μB/cell
Symmetry: P-1

Cell: 4.6001 5.4107 7.7489 Å, 78.58 83.54 79.61°
Closest atoms and distances in Å follow each position.
Atoms (fractional coordinates):
Ac  0.0585  0.0749  0.2299  5 O 2.45-2.65
Ac  0.9415  0.9251  0.7701  5 O 2.45-2.65
Pu  0.5000  0.5000  0.5000  4 O 1.90-1.96
Co  0.5000  0.5000  0.0000  4 O 1.80-1.91
O  0.1086  0.7153  0.5049  1 Pu 1.96
O  0.1989  0.7517  0.0393  1 Co 1.80
O  0.3891  0.2132  0.6613  1 Pu 1.90
O  0.4792  0.3446  0.2446  1 Co 1.91
O  0.5208  0.6554  0.7554  1 Co 1.91
O  0.6109  0.7868  0.3387  1 Pu 1.90
O  0.8011  0.2483  0.9607  1 Co 1.80
O  0.8914  0.2847  0.4951  1 Pu 1.96

=====

No. 5
The following is a PBE with a Hubbard U calculation of an optimized crystal structure of Ac2PuCoO6, from Alexandria via LeMat-Bulk.

Values from the calculation:
Raw total energy: -8.51 eV per atom
M_tot: 14.000 μB/cell
Symmetry: P2_1/c

Cell: 5.9111 6.0370 10.2460 Å, 90.00 124.64 90.00°
Closest atoms and distances in Å follow each position.
Atoms (fractional coordinates):
Ac  0.2357  0.0484  0.2486  6 O 2.51-2.81
Ac  0.2357  0.4516  0.7486  6 O 2.51-2.81
Ac  0.7643  0.5484  0.2514  6 O 2.51-2.81
Ac  0.7643  0.9516  0.7514  6 O 2.51-2.81
Pu  0.5000  0.0000  0.0000  6 O 2.21-2.23
Pu  0.5000  0.5000  0.5000  6 O 2.21-2.23
Co  0.0000  0.0000  0.5000  6 O 2.16-2.17
Co  0.0000  0.5000  0.0000  6 O 2.16-2.17
O  0.1501  0.2076  0.9499  1 Co 2.16, 1 Pu 2.21
O  0.1501  0.2924  0.4499  1 Co 2.16, 1 Pu 2.21
O  0.2369  0.7034  0.9462  1 Co 2.16, 1 Pu 2.23
O  0.2369  0.7966  0.4462  1 Co 2.16, 1 Pu 2.23
O  0.3437  0.0326  0.7465  1 Co 2.17, 1 Pu 2.22
O  0.3437  0.4674  0.2465  1 Co 2.17, 1 Pu 2.22
O  0.6563  0.5326  0.7535  1 Co 2.17, 1 Pu 2.22
O  0.6563  0.9674  0.2535  1 Co 2.17, 1 Pu 2.22
O  0.7631  0.2034  0.5538  1 Co 2.16, 1 Pu 2.23
O  0.7631  0.2966  0.0538  1 Co 2.16, 1 Pu 2.23
O  0.8499  0.7076  0.5501  1 Co 2.16, 1 Pu 2.21
O  0.8499  0.7924  0.0501  1 Co 2.16, 1 Pu 2.21

=====

No. 6
The following is a PBE with a Hubbard U calculation of an optimized crystal structure of RbAc2CoO5, from Alexandria via LeMat-Bulk.

Values from the calculation:
Raw total energy: -6.69 eV per atom
M_tot: 4.057 μB/cell
Symmetry: P4/mbm

Cell: 7.2084 7.2084 5.8028 Å, 90.00 90.00 90.00°
Closest atoms and distances in Å follow each position.
Atoms (fractional coordinates):
Rb  0.0000  0.0000  0.0000  10 O 2.90-3.15
Rb  0.5000  0.5000  0.0000  10 O 2.90-3.15
Ac  0.1817  0.3183  0.5000  8 O 2.50-2.73
Ac  0.3183  0.8183  0.5000  8 O 2.50-2.73
Ac  0.6817  0.1817  0.5000  8 O 2.50-2.73
Ac  0.8183  0.6817  0.5000  8 O 2.50-2.73
Co  0.0000  0.5000  0.0000  4 O 1.86
Co  0.5000  0.0000  0.0000  4 O 1.86
O  0.0000  0.0000  0.5000  4 Ac 2.64, 2 Rb 2.90
O  0.1253  0.6253  0.2331  1 Co 1.86
O  0.1253  0.6253  0.7669  1 Co 1.86
O  0.3747  0.1253  0.2331  1 Co 1.86
O  0.3747  0.1253  0.7669  1 Co 1.86
O  0.5000  0.5000  0.5000  4 Ac 2.64, 2 Rb 2.90
O  0.6253  0.8747  0.2331  1 Co 1.86
O  0.6253  0.8747  0.7669  1 Co 1.86
O  0.8747  0.3747  0.2331  1 Co 1.86
O  0.8747  0.3747  0.7669  1 Co 1.86

=====

No. 7
The following is a PBE with a Hubbard U calculation of an optimized crystal structure of Rb3Ac2CoO6, from Alexandria via LeMat-Bulk.

Values from the calculation:
Raw total energy: -5.73 eV per atom
M_tot: 3.920 μB/cell
Symmetry: C2/m

Cell: 6.2823 6.2823 6.9582 Å, 99.12 99.12 118.48°
Closest atoms and distances in Å follow each position.
Atoms (fractional coordinates):
Rb  0.0000  0.0000  0.0000  6 O 2.90-2.93
Rb  0.3421  0.6579  0.0000  4 O 2.81-2.98
Rb  0.6579  0.3421  0.0000  4 O 2.81-2.98
Ac  0.1665  0.8335  0.5000  6 O 2.49-2.56
Ac  0.8335  0.1665  0.5000  6 O 2.49-2.56
Co  0.5000  0.5000  0.5000  4 O 2.08
O  0.1608  0.4397  0.3327  1 Co 2.08
O  0.2335  0.2335  0.7044  2 Ac 2.49, 1 Co 2.54
O  0.4397  0.1608  0.3327  1 Co 2.08
O  0.5603  0.8392  0.6673  1 Co 2.08
O  0.7665  0.7665  0.2956  2 Ac 2.49, 1 Co 2.54
O  0.8392  0.5603  0.6673  1 Co 2.08

=====

No. 8
The following is a PBE with a Hubbard U calculation of an optimized crystal structure of Rb2AcCoO4, from Alexandria via LeMat-Bulk.

Values from the calculation:
Raw total energy: -5.62 eV per atom
M_tot: 2.000 μB/cell
Symmetry: I-4

Cell: 5.8931 5.8931 5.8931 Å, 114.60 114.60 99.64°
Closest atoms and distances in Å follow each position.
Atoms (fractional coordinates):
Rb  0.0000  0.0000  0.0000  8 O 2.96-3.16
Rb  0.7500  0.2500  0.5000  4 O 2.83
Ac  0.5000  0.5000  0.0000  4 O 2.39
Co  0.2500  0.7500  0.5000  4 O 1.87
O  0.1661  0.0554  0.5743  1 Co 1.87
O  0.4082  0.8339  0.8893  1 Co 1.87
O  0.4811  0.5918  0.4257  1 Co 1.87
O  0.9446  0.5189  0.1107  1 Co 1.87

=====

No. 9
The following is a PBE with a Hubbard U calculation of an optimized crystal structure of RbAcCoO4, from Alexandria via LeMat-Bulk.

Values from the calculation:
Raw total energy: -6.18 eV per atom
M_tot: 10.000 μB/cell
Symmetry: P2_1/m

Cell: 6.1945 5.8460 7.8956 Å, 90.00 104.17 90.00°
Closest atoms and distances in Å follow each position.
Atoms (fractional coordinates):
Rb  0.2085  0.2500  0.4237  6 O 3.03-3.11
Rb  0.7915  0.7500  0.5763  6 O 3.03-3.11
Ac  0.2682  0.2500  0.9409  6 O 2.52-2.62
Ac  0.7318  0.7500  0.0591  6 O 2.52-2.62
Co  0.2640  0.7500  0.1746  4 O 1.79-1.81
Co  0.7360  0.2500  0.8254  4 O 1.79-1.81
O  0.0727  0.7500  0.3114  1 Co 1.79
O  0.0894  0.7500  0.9539  1 Co 1.81
O  0.4526  0.5113  0.1881  1 Co 1.81
O  0.4526  0.9887  0.1881  1 Co 1.81
O  0.5474  0.0113  0.8119  1 Co 1.81
O  0.5474  0.4887  0.8119  1 Co 1.81
O  0.9106  0.2500  0.0461  1 Co 1.81
O  0.9273  0.2500  0.6886  1 Co 1.79

=====

No. 10
The following is a PBE with a Hubbard U calculation of an optimized crystal structure of AcCo2RhO6, from Alexandria via LeMat-Bulk.

Values from the calculation:
Raw total energy: -6.54 eV per atom
M_tot: 7.949 μB/cell
Symmetry: Pnnm

Cell: 5.5345 5.6987 7.7471 Å, 90.00 90.00 90.00°
Closest atoms and distances in Å follow each position.
Atoms (fractional coordinates):
Ac  0.0000  0.0000  0.0000  2 O 2.34
Ac  0.5000  0.5000  0.5000  2 O 2.34
Co  0.0000  0.5000  0.2093  4 O 1.98-2.03
Co  0.0000  0.5000  0.7907  4 O 1.98-2.03
Co  0.5000  0.0000  0.2907  4 O 1.98-2.03
Co  0.5000  0.0000  0.7093  4 O 1.98-2.03
Rh  0.0000  0.0000  0.5000  6 O 1.92-2.06
Rh  0.5000  0.5000  0.0000  6 O 1.92-2.06
O  0.1496  0.2251  0.3219  1 Co 1.98, 1 Rh 2.06
O  0.1496  0.2251  0.6781  1 Co 1.98, 1 Rh 2.06
O  0.1777  0.3735  0.0000  1 Rh 1.92, 2 Co 2.03
O  0.3223  0.8735  0.5000  1 Rh 1.92, 2 Co 2.03
O  0.3504  0.7251  0.1781  1 Co 1.98, 1 Rh 2.06
O  0.3504  0.7251  0.8219  1 Co 1.98, 1 Rh 2.06
O  0.6496  0.2749  0.1781  1 Co 1.98, 1 Rh 2.06
O  0.6496  0.2749  0.8219  1 Co 1.98, 1 Rh 2.06
O  0.6777  0.1265  0.5000  1 Rh 1.92, 2 Co 2.03
O  0.8223  0.6265  0.0000  1 Rh 1.92, 2 Co 2.03
O  0.8504  0.7749  0.3219  1 Co 1.98, 1 Rh 2.06
O  0.8504  0.7749  0.6781  1 Co 1.98, 1 Rh 2.06

=====

No. 11
The following is a PBE with a Hubbard U calculation of an optimized crystal structure of AcCoRhO6, from Alexandria via LeMat-Bulk.

Values from the calculation:
Raw total energy: -6.59 eV per atom
M_tot: 2.536 μB/cell
Symmetry: P312

Cell: 5.1205 5.1205 5.3244 Å, 90.00 90.00 120.00°
Closest atoms and distances in Å follow each position.
Atoms (fractional coordinates):
Ac  0.0000  0.0000  0.0000  6 O 2.51
Co  0.6667  0.3333  0.5000  6 O 1.89
Rh  0.3333  0.6667  0.5000  6 O 1.97
O  0.3852  0.0113  0.7015  1 Co 1.89, 1 Rh 1.97
O  0.3852  0.3739  0.2985  1 Co 1.89, 1 Rh 1.97
O  0.6261  0.0113  0.2985  1 Co 1.89, 1 Rh 1.97
O  0.6261  0.6148  0.7015  1 Co 1.89, 1 Rh 1.97
O  0.9887  0.3739  0.7015  1 Co 1.89, 1 Rh 1.97
O  0.9887  0.6148  0.2985  1 Co 1.89, 1 Rh 1.97

=====

No. 12
The following is a PBE with a Hubbard U calculation of an optimized crystal structure of AcCo3Rh4O12, from Alexandria via LeMat-Bulk.

Values from the calculation:
Raw total energy: -6.56 eV per atom
M_tot: 6.097 μB/cell
Symmetry: Im-3

Cell: 6.5786 6.5786 6.5786 Å, 109.47 109.47 109.47°
Closest atoms and distances in Å follow each position.
Atoms (fractional coordinates):
Ac  0.0000  0.0000  0.0000  12 O 2.72
Co  0.0000  0.5000  0.5000  4 O 1.91
Co  0.5000  0.0000  0.5000  4 O 1.91
Co  0.5000  0.5000  0.0000  4 O 1.91
Rh  0.0000  0.0000  0.5000  6 O 2.05
Rh  0.0000  0.5000  0.0000  6 O 2.05
Rh  0.5000  0.0000  0.0000  6 O 2.05
Rh  0.5000  0.5000  0.5000  6 O 2.05
O  0.1441  0.3148  0.8293  1 Co 1.91, 2 Rh 2.05
O  0.1707  0.4855  0.3148  1 Co 1.91, 2 Rh 2.05
O  0.1707  0.8559  0.6852  1 Co 1.91, 2 Rh 2.05
O  0.3148  0.1707  0.4855  1 Co 1.91, 2 Rh 2.05
O  0.3148  0.8293  0.1441  1 Co 1.91, 2 Rh 2.05
O  0.4855  0.3148  0.1707  1 Co 1.91, 2 Rh 2.05
O  0.5145  0.6852  0.8293  1 Co 1.91, 2 Rh 2.05
O  0.6852  0.1707  0.8559  1 Co 1.91, 2 Rh 2.05
O  0.6852  0.8293  0.5145  1 Co 1.91, 2 Rh 2.05
O  0.8293  0.1441  0.3148  1 Co 1.91, 2 Rh 2.05
O  0.8293  0.5145  0.6852  1 Co 1.91, 2 Rh 2.05
O  0.8559  0.6852  0.1707  1 Co 1.91, 2 Rh 2.05

=====

Q: Which of these has the highest raw total energy?
A: Rb2AcCoO4